The following is a DFT calculation (GGA-PBE) of a geometry-optimized Y2MgSnB structure.

The space group is P4/mmm (No. 123) and the conventional cell measures 5.0460, 5.0460 and 4.5598 Å, with angles of 90.00, 90.00 and 90.00 degrees. Symmetry generates all atoms from Y at (0.0000, 0.5000, 0.0000), Mg at (0.0000, 0.0000, 0.5000), Sn at (0.5000, 0.5000, 0.5000) and B at (0.0000, 0.0000, 0.0000).

The formation energy is -8.2 kcal/mol of atoms. Its total energy is -5.398 eV/atom. The crystal system is tetragonal.

The following is a DFT calculation (GGA-PBE) of a geometry-optimized LiCu2 structure.

The space group is P6_3/mmc (No. 194) and the conventional cell measures 4.1312, 4.1312 and 4.9503 Å, with angles of 90.00, 90.00 and 120.00 degrees. Symmetry generates all atoms from Li at (0.3333, 0.6667, 0.2500), Cu at (0.0000, 0.0000, 0.0000) and Cu at (0.3333, 0.6667, 0.7500).

The formation energy is 0.2 kcal/mol of atoms. Its total energy is -3.358 eV/atom. The crystal system is hexagonal.

The following is a DFT calculation (GGA-PBE) of a geometry-optimized HfNi2Te structure.

The space group is I-42d (No. 122) and the conventional cell measures 4.1059, 4.1059 and 17.2086 Å, with angles of 90.00, 90.00 and 90.00 degrees. Symmetry generates all atoms from Hf at (0.0000, 0.0000, 0.0000), Ni at (0.2453, 0.2500, 0.1250) and Te at (0.0000, 0.0000, 0.5000).

Its total energy is -6.120 eV/atom. The crystal system is tetragonal.

The following is a DFT calculation (GGA-PBE) of a geometry-optimized MgFeIr4 structure.

The space group is F-43m (No. 216) and the conventional cell measures 7.3158, 7.3158 and 7.3158 Å, with angles of 90.00, 90.00 and 90.00 degrees. Symmetry generates all atoms from Mg at (0.0000, 0.0000, 0.0000), Fe at (0.2500, 0.2500, 0.7500) and Ir at (0.1250, 0.1250, 0.3750).

The formation energy is 3.5 kcal/mol of atoms. Its total energy is -7.434 eV/atom. The crystal system is cubic.

Repeat the fourth record exactly.
The following is a DFT calculation (GGA-PBE) of a geometry-optimized MgFeIr4 structure.

The space group is F-43m (No. 216) and the conventional cell measures 7.3158, 7.3158 and 7.3158 Å, with angles of 90.00, 90.00 and 90.00 degrees. Symmetry generates all atoms from Mg at (0.0000, 0.0000, 0.0000), Fe at (0.2500, 0.2500, 0.7500) and Ir at (0.1250, 0.1250, 0.3750).

The formation energy is 3.5 kcal/mol of atoms. Its total energy is -7.434 eV/atom. The crystal system is cubic.

Number 1 is which compound?
Y2MgSnB